An optimized crystal structure of K2AuCl, computed with GGA-PBE.

**Raw formation energy**: -1.0574 eV/atom
**DFT total energy**: -2.887 eV/atom
**E above lowest polymorph**: 0.264 eV/f.u.
**Calculated density**: 3.68 g/cm3

Cell lengths 8.5786, 8.5786, 8.5786 Å; angles 152.29, 151.39, 40.25 degrees
Closest atoms and distances in Å follow each position.
Element x y z (fractional)
K  0.0539  0.0539  0.0000  2 Cl 3.20, 4 Au 3.37
Au  0.4532  0.4532  0.0000  6 K 3.37-3.42
K  0.7867  0.2867  0.5000  4 Cl 3.22, 2 Au 3.42
Cl  0.2062  0.7062  0.5000  6 K 3.20-3.22